No. 1
The following is a DFT calculation (PBE) of an optimized crystal structure of PuPd6Pb.

Unit cell a=5.8511 b=5.8511 c=4.7729 alpha=90.00 beta=90.00 gamma=120.00
Space group P-6m2 (No. 187)
Symmetry-distinct sites (fractional):
Pu (0.0000, 0.0000, 0.0000) (multiplicity 1)
Pd (0.0061, 0.5031, 0.0000) (multiplicity 3)
Pd (0.1709, 0.3419, 0.5000) (multiplicity 3)
Pb (0.6667, 0.3333, 0.5000) (multiplicity 1)

Energy of formation: -0.36 eV per atom
DOS(E_F): 17.919 states/eV/f.u.

No. 2
The following is a DFT calculation (PBE) of an optimized crystal structure of PuPdPb2.

Unit cell a=4.8223 b=4.8223 c=16.0670 alpha=90.00 beta=90.00 gamma=120.00
Space group R3m (No. 160, hexagonal axes)
Symmetry-distinct sites (fractional):
Pu (0.0000, 0.0000, 0.0000) (multiplicity 3)
Pd (0.0000, 0.0000, 0.8106) (multiplicity 3)
Pb (0.0000, 0.0000, 0.2202) (multiplicity 3)
Pb (0.0000, 0.0000, 0.4391) (multiplicity 3)

Energy of formation: -0.12 eV per atom
DOS(E_F): 14.790 states/eV/f.u.

No. 3
The following is a DFT calculation (PBE) of an optimized crystal structure of PuPd15Pb4.

Unit cell a=4.1151 b=4.1151 c=20.6185 alpha=90.00 beta=90.00 gamma=90.00
Space group P4/mmm (No. 123)
Symmetry-distinct sites (fractional):
Pu (0.0000, 0.0000, 0.0000) (multiplicity 1)
Pd (0.0000, 0.5000, 0.1002) (multiplicity 4)
Pd (0.0000, 0.5000, 0.3008) (multiplicity 4)
Pd (0.0000, 0.5000, 0.5000) (multiplicity 2)
Pd (0.5000, 0.5000, 0.0000) (multiplicity 1)
Pd (0.5000, 0.5000, 0.2013) (multiplicity 2)
Pd (0.5000, 0.5000, 0.4003) (multiplicity 2)
Pb (0.0000, 0.0000, 0.2018) (multiplicity 2)
Pb (0.0000, 0.0000, 0.4007) (multiplicity 2)

Energy of formation: -0.34 eV per atom
DOS(E_F): 17.265 states/eV/f.u.

No. 4
The following is a DFT calculation (PBE) of an optimized crystal structure of Pu2Pd9Pb.

Unit cell a=4.1397 b=4.1397 c=12.4005 alpha=90.00 beta=90.00 gamma=90.00
Space group P4/mmm (No. 123)
Symmetry-distinct sites (fractional):
Pu (0.0000, 0.0000, 0.1672) (multiplicity 2)
Pd (0.0000, 0.5000, 0.0000) (multiplicity 2)
Pd (0.0000, 0.5000, 0.3333) (multiplicity 4)
Pd (0.5000, 0.5000, 0.1691) (multiplicity 2)
Pd (0.5000, 0.5000, 0.5000) (multiplicity 1)
Pb (0.0000, 0.0000, 0.5000) (multiplicity 1)

Energy of formation: -0.46 eV per atom
DOS(E_F): 35.082 states/eV/f.u.

No. 5
The following is a DFT calculation (PBE) of an optimized crystal structure of Pu2Pd3Pb.

Unit cell a=9.5416 b=9.7086 c=5.5360 alpha=90.00 beta=90.00 gamma=90.00
Space group Cmcm (No. 63)
Symmetry-distinct sites (fractional):
Pu (0.1528, 0.2383, 0.2500) (multiplicity 8)
Pd (0.0000, 0.0792, 0.7500) (multiplicity 4)
Pd (0.2437, 0.5000, 0.0000) (multiplicity 8)
Pb (0.0000, 0.3799, 0.7500) (multiplicity 4)

Energy of formation: -0.27 eV per atom
DOS(E_F): 16.469 states/eV/f.u.

No. 6
The following is a DFT calculation (PBE) of an optimized crystal structure of Pu3Pd3Pb.

Unit cell a=10.2177 b=10.2177 c=3.2446 alpha=90.00 beta=90.00 gamma=120.00
Space group P6_3/m (No. 176)
Symmetry-distinct sites (fractional):
Pu (0.0215, 0.4310, 0.2500) (multiplicity 6)
Pd (0.0759, 0.2399, 0.7500) (multiplicity 6)
Pb (0.3333, 0.6667, 0.7500) (multiplicity 2)

Energy of formation: 0.06 eV per atom
DOS(E_F): 10.886 states/eV/f.u.

No. 7
The following is a DFT calculation (PBE) of an optimized crystal structure of Pu5Pd4Pb.

Unit cell a=3.8468 b=3.8468 c=14.8868 alpha=90.00 beta=90.00 gamma=90.00
Space group P4/mmm (No. 123)
Symmetry-distinct sites (fractional):
Pu (0.0000, 0.0000, 0.0000) (multiplicity 1)
Pu (0.0000, 0.0000, 0.1766) (multiplicity 2)
Pu (0.0000, 0.0000, 0.3814) (multiplicity 2)
Pd (0.5000, 0.5000, 0.0912) (multiplicity 2)
Pd (0.5000, 0.5000, 0.2832) (multiplicity 2)
Pb (0.5000, 0.5000, 0.5000) (multiplicity 1)

Energy of formation: -0.11 eV per atom
DOS(E_F): 38.799 states/eV/f.u.

No. 8
The following is a DFT calculation (PBE) of an optimized crystal structure of PuPd2Pb2.

Unit cell a=5.2894 b=4.5442 c=10.3245 alpha=90.00 beta=99.77 gamma=90.00
Space group P2_1/m (No. 11)
Symmetry-distinct sites (fractional):
Pu (0.1236, 0.2500, 0.2802) (multiplicity 2)
Pd (0.1610, 0.7500, 0.4882) (multiplicity 2)
Pd (0.1833, 0.2500, 0.8635) (multiplicity 2)
Pb (0.2809, 0.7500, 0.0349) (multiplicity 2)
Pb (0.3823, 0.2500, 0.6294) (multiplicity 2)

Energy of formation: -0.25 eV per atom
DOS(E_F): 16.508 states/eV/f.u.

The highest DOS(E_F) belongs to which entry?
Pu5Pd4Pb